## KZn2InAu4 (PBE)

Data for crystalline KZn2InAu4 at its relaxed geometry.

a b c (Å): 4.4609 4.4609 11.1063
angles (deg): 78.41 78.41 60.00
Fractional positions:
In  0.5000  0.5000  0.5000
Zn  0.7516  0.7516  0.7451
Zn  0.2484  0.2484  0.2549
Au  0.5919  0.5919  0.2243
Au  0.4081  0.4081  0.7757
Au  0.1189  0.1189  0.6433
Au  0.8811  0.8811  0.3567
K  0.0000  0.0000  0.0000

## Properties
SG: R-3m (166)
Calculated volume, A^3/atom: 23.27
Energy, eV per atom: -2.617
Total moment, μB per cell: 0.00
Calculated formation energy, kJ/mol of formula units: -139